No. 1
The following is a PBE-GGA calculation of Tb3N after structural relaxation, from Alexandria via LeMat-Bulk.

Output
* raw formation energy: -177 kJ/mol of formula units
* energy above the most stable polymorph in this dataset: 26 meV per atom
* space-group type: Imm2

Cell lengths 3.288, 5.963, 5.999 Å; angles 119.80, 105.91, 90.00 degrees
Sites, in units of the cell vectors:
Tb 0.336 0.713 0.671
Tb 0.500 0.346 0.000
Tb 0.664 0.041 0.329
N 0.000 0.067 0.000

=====

No. 2
The following is a PBE-GGA calculation of Tb3N after structural relaxation, from Alexandria via LeMat-Bulk.

Output
* raw formation energy: -187 kJ/mol of formula units
* energy above the most stable polymorph in this dataset: 0 meV per atom
* space-group type: P-4m2

Cell lengths 3.553, 3.553, 9.036 Å; angles 90.00, 90.00, 90.00 degrees
Sites, in units of the cell vectors:
Tb 0.000 0.500 0.142
Tb 0.500 0.000 0.441
Tb 0.500 0.500 0.792
N 0.000 0.000 0.292

=====

No. 3
The following is a PBE-GGA calculation of TbN4 after structural relaxation, from Alexandria via LeMat-Bulk.

Output
* raw formation energy: -141 kJ/mol of formula units
* energy above the most stable polymorph in this dataset: 0 meV per atom
* space-group type: P1

Cell lengths 4.619, 8.985, 8.234 Å; angles 130.19, 92.80, 126.32 degrees
Sites, in units of the cell vectors:
Tb 0.515 0.030 0.615
Tb 0.015 0.030 0.115
N 0.667 0.640 0.620
N 0.200 0.094 0.447
N 0.168 0.640 0.120
N 0.074 0.094 0.572
N 0.573 0.094 0.072
N 0.295 0.642 0.996
N 0.699 0.094 0.947
N 0.795 0.642 0.496

=====

No. 4
The following is a PBE-GGA calculation of Tb5N4 after structural relaxation, from Alexandria via LeMat-Bulk.

Output
* raw formation energy: -330 kJ/mol of formula units
* energy above the most stable polymorph in this dataset: 795 meV per atom
* space-group type: I4/mmm

Cell lengths 3.132, 7.451, 7.451 Å; angles 87.47, 77.87, 77.87 degrees
Sites, in units of the cell vectors:
Tb 0.738 0.262 0.262
Tb 0.262 0.738 0.738
Tb 0.000 0.000 0.000
Tb 0.000 0.738 0.262
Tb 0.000 0.262 0.738
N 0.640 0.000 0.720
N 0.360 0.280 0.000
N 0.360 0.000 0.280
N 0.640 0.720 0.000

=====

No. 5
The following is a PBE-GGA calculation of Tb2TcN3 after structural relaxation, from Alexandria via LeMat-Bulk.

Output
* raw formation energy: -640 kJ/mol of formula units
* space-group type: Immm

Cell lengths 3.337, 3.838, 6.841 Å; angles 106.29, 104.11, 90.00 degrees
Sites, in units of the cell vectors:
Tb 0.651 0.651 0.302
Tb 0.349 0.349 0.698
Tc 0.000 0.000 0.000
N 0.000 0.500 0.000
N 0.836 0.836 0.672
N 0.164 0.164 0.328

=====

No. 6
The following is a PBE-GGA calculation of TbTc2N3 after structural relaxation, from Alexandria via LeMat-Bulk.

Output
* raw formation energy: -187 kJ/mol of formula units
* space-group type: P2_1/m

Cell lengths 3.317, 5.646, 10.130 Å; angles 98.23, 90.00, 90.00 degrees
Sites, in units of the cell vectors:
Tb 0.250 0.556 0.843
Tb 0.750 0.444 0.157
Tc 0.250 0.387 0.411
Tc 0.750 0.613 0.589
Tc 0.750 0.041 0.910
Tc 0.250 0.959 0.090
N 0.750 0.839 0.743
N 0.250 0.161 0.257
N 0.750 0.579 0.385
N 0.250 0.421 0.615
N 0.250 0.252 0.982
N 0.750 0.748 0.018

=====

No. 7
The following is a PBE-GGA calculation of TbTcN after structural relaxation, from Alexandria via LeMat-Bulk.

Output
* raw formation energy: -266 kJ/mol of formula units
* space-group type: P4/nmm

Cell lengths 3.378, 3.378, 15.705 Å; angles 90.00, 90.00, 90.00 degrees
Sites, in units of the cell vectors:
N 0.750 0.750 0.826
N 0.750 0.750 0.326
N 0.250 0.250 0.174
N 0.250 0.250 0.674
Tc 0.250 0.250 0.539
Tc 0.250 0.250 0.039
Tc 0.750 0.750 0.461
Tc 0.750 0.750 0.961
Tb 0.750 0.750 0.671
Tb 0.750 0.750 0.171
Tb 0.250 0.250 0.329
Tb 0.250 0.250 0.829

=====

No. 8
The following is a PBE-GGA calculation of Tb3Tc5N12 after structural relaxation, from Alexandria via LeMat-Bulk.

Output
* raw formation energy: -869 kJ/mol of formula units
* space-group type: Ia-3d

Cell lengths 11.000, 11.000, 11.000 Å; angles 109.47, 109.47, 109.47 degrees
Sites, in units of the cell vectors:
Tb 0.750 0.375 0.125
Tb 0.875 0.750 0.125
Tb 0.375 0.750 0.625
Tb 0.250 0.125 0.375
Tb 0.875 0.125 0.250
Tb 0.375 0.625 0.250
Tb 0.625 0.375 0.750
Tb 0.125 0.875 0.750
Tb 0.750 0.875 0.625
Tb 0.625 0.250 0.375
Tb 0.125 0.250 0.875
Tb 0.250 0.625 0.875
Tc 0.125 0.375 0.250
Tc 0.000 0.500 0.000
Tc 0.000 0.000 0.000
Tc 0.375 0.250 0.125
Tc 0.500 0.000 0.500
Tc 0.500 0.500 0.000
Tc 0.125 0.750 0.375
Tc 0.750 0.125 0.875
Tc 0.750 0.625 0.375
Tc 0.375 0.125 0.750
Tc 0.625 0.875 0.250
Tc 0.500 0.500 0.500
Tc 0.500 0.000 0.000
Tc 0.000 0.000 0.500
Tc 0.250 0.375 0.625
Tc 0.250 0.875 0.125
Tc 0.000 0.500 0.500
Tc 0.875 0.250 0.625
Tc 0.625 0.750 0.875
Tc 0.875 0.625 0.750
N 0.700 0.117 0.017
N 0.318 0.517 0.401
N 0.983 0.383 0.300
N 0.517 0.200 0.117
N 0.583 0.700 0.682
N 0.983 0.599 0.182
N 0.318 0.800 0.417
N 0.099 0.917 0.117
N 0.599 0.983 0.682
N 0.700 0.583 0.182
N 0.800 0.483 0.383
N 0.818 0.901 0.017
N 0.117 0.700 0.517
N 0.383 0.401 0.083
N 0.083 0.901 0.383
N 0.417 0.117 0.599
N 0.083 0.182 0.200
N 0.483 0.682 0.099
N 0.818 0.917 0.300
N 0.117 0.417 0.099
N 0.383 0.983 0.800
N 0.599 0.617 0.417
N 0.901 0.818 0.517
N 0.800 0.318 0.917
N 0.401 0.383 0.583
N 0.099 0.182 0.483
N 0.200 0.682 0.083
N 0.182 0.083 0.700
N 0.617 0.017 0.200
N 0.883 0.583 0.901
N 0.517 0.318 0.901
N 0.583 0.883 0.401
N 0.917 0.818 0.800
N 0.917 0.099 0.617
N 0.883 0.300 0.483
N 0.182 0.099 0.983
N 0.617 0.599 0.917
N 0.401 0.017 0.318
N 0.300 0.417 0.818
N 0.200 0.517 0.617
N 0.901 0.083 0.883
N 0.682 0.200 0.583
N 0.483 0.800 0.883
N 0.017 0.401 0.818
N 0.417 0.300 0.318
N 0.017 0.617 0.700
N 0.682 0.483 0.599
N 0.300 0.883 0.983

=====

No. 9
The following is a PBE-GGA calculation of Tb3Tc2N6 after structural relaxation, from Alexandria via LeMat-Bulk.

Output
* raw formation energy: -898 kJ/mol of formula units
* space-group type: I4/mmm

Cell lengths 3.893, 3.893, 9.833 Å; angles 101.42, 101.42, 90.00 degrees
Sites, in units of the cell vectors:
Tb 0.000 0.000 0.000
Tb 0.817 0.817 0.634
Tb 0.183 0.183 0.366
Tc 0.408 0.408 0.816
Tc 0.592 0.592 0.184
N 0.085 0.585 0.170
N 0.585 0.085 0.170
N 0.915 0.415 0.830
N 0.415 0.915 0.830
N 0.700 0.700 0.399
N 0.300 0.300 0.601

=====

No. 10
The following is a PBE-GGA calculation of Tb2VTcN5 after structural relaxation, from Alexandria via LeMat-Bulk.

Output
* raw formation energy: -830 kJ/mol of formula units
* space-group type: Cmc2_1

Cell lengths 3.317, 6.677, 9.855 Å; angles 90.00, 90.00, 104.38 degrees
Sites, in units of the cell vectors:
Tb 0.854 0.709 0.789
Tb 0.109 0.219 0.699
Tb 0.146 0.291 0.289
Tb 0.891 0.781 0.199
V 0.524 0.047 0.965
V 0.476 0.953 0.465
Tc 0.776 0.552 0.513
Tc 0.224 0.448 0.013
N 0.373 0.746 0.008
N 0.682 0.364 0.877
N 0.490 0.980 0.788
N 0.283 0.567 0.638
N 0.951 0.903 0.547
N 0.627 0.254 0.508
N 0.318 0.636 0.377
N 0.510 0.020 0.288
N 0.717 0.433 0.138
N 0.049 0.097 0.047

=====

No. 11
The following is a PBE-GGA calculation of Tb2YTcN4 after structural relaxation, from Alexandria via LeMat-Bulk.

Output
* raw formation energy: -819 kJ/mol of formula units
* space-group type: Cmcm

Cell lengths 3.422, 6.069, 11.657 Å; angles 90.00, 90.00, 106.38 degrees
Sites, in units of the cell vectors:
Tb 0.368 0.737 0.540
Tb 0.632 0.263 0.040
Tb 0.632 0.263 0.460
Tb 0.368 0.737 0.960
Y 0.132 0.264 0.750
Y 0.868 0.736 0.250
Tc 0.865 0.731 0.750
Tc 0.135 0.269 0.250
N 0.265 0.529 0.132
N 0.735 0.471 0.632
N 0.735 0.471 0.868
N 0.265 0.529 0.368
N 0.000 0.000 0.500
N 0.000 0.000 0.000
N 0.448 0.897 0.750
N 0.552 0.103 0.250